4
Lattice="0.000 3.381 3.381 3.381 0.000 3.381 3.381 3.381 0.000" Properties=species:S:1:pos:R:3 comment="TmZrZnIr | Alexandria via LeMat-Bulk | PBE | relaxed" spacegroup="F-43m, No. 216" dos_at_fermi_per_ev_atom=0.91 magmom_total_mub_per_atom=0.000 energy_ev_per_cell=-25.426 pbc="T T T"
Tm 0.000 0.000 0.000
Zr 3.381 3.381 3.381
Zn 1.690 1.690 1.690
Ir 5.071 5.071 5.071